Here is crystalline Mn2AlTcN at its relaxed geometry from Alexandria. Energies are from PBE.

a = 3.785 Å, b = 3.785 Å, c = 4.075 Å
α = 90.00°, β = 90.00°, γ = 90.00°
Element x y z (fractional)
1 Mn 0.000 0.500 0.000
2 Mn 0.500 0.000 0.000
3 Al 0.000 0.000 0.500
4 Tc 0.500 0.500 0.500
5 N 0.500 0.500 0.000

Output
Formation energy (no corrections) (eV per atom): -0.319
Space-group type: P4/mmm (123)
D(E_F) (states/eV/cell): 2.75

***

Here is crystalline CaTaAg2 at its relaxed geometry from Alexandria. Energies are from PBE.

a = 4.123 Å, b = 4.123 Å, c = 9.679 Å
α = 90.00°, β = 90.00°, γ = 90.00°
Element x y z (fractional)
1 Ca 0.000 0.000 0.000
2 Ca 0.500 0.500 0.500
3 Ta 0.000 0.500 0.750
4 Ta 0.500 0.000 0.250
5 Ag 0.000 0.000 0.500
6 Ag 0.000 0.500 0.250
7 Ag 0.500 0.000 0.750
8 Ag 0.500 0.500 0.000

Output
ΔE_f (eV per atom): 0.5691
Space-group type: I-4m2 (119)
D(E_F) (states/eV/cell): 10.56

***

Here is crystalline SrNdTl2 at its relaxed geometry from Alexandria. Energies are from PBE.

a = 3.964 Å, b = 3.964 Å, c = 8.138 Å
α = 90.00°, β = 90.00°, γ = 90.00°
Element x y z (fractional)
1 Sr 0.000 0.000 0.000
2 Nd 0.000 0.000 0.500
3 Tl 0.500 0.500 0.264
4 Tl 0.500 0.500 0.736

Output
ΔE_f (eV per atom): -0.4018
Space-group type: P4/mmm (123)
D(E_F) (states/eV/cell): 2.49

***

Here is crystalline Cs2TiBr2Cl4 at its relaxed geometry from Alexandria. Energies are from PBE.

a = 7.574 Å, b = 7.574 Å, c = 7.574 Å
α = 119.28°, β = 119.28°, γ = 91.26°
Element x y z (fractional)
1 Cs 0.250 0.750 0.500
2 Cs 0.750 0.250 0.500
3 Ti 0.000 0.000 0.000
4 Br 0.241 0.241 0.000
5 Br 0.759 0.759 0.000
6 Cl 0.218 0.218 0.436
7 Cl 0.218 0.782 0.000
8 Cl 0.782 0.218 0.000
9 Cl 0.782 0.782 0.564

Output
Formation energy (no corrections) (eV per atom): -1.733
Space-group type: I4/mmm (139)
D(E_F) (states/eV/cell): 0.00

***

Here is crystalline Sm2Cd3Ag4 at its relaxed geometry from Alexandria. Energies are from PBE.

a = 5.023 Å, b = 5.023 Å, c = 9.294 Å
α = 93.38°, β = 93.38°, γ = 58.93°
Element x y z (fractional)
1 Sm 0.176 0.176 0.229
2 Sm 0.824 0.824 0.771
3 Cd 0.153 0.153 0.583
4 Cd 0.500 0.500 0.000
5 Cd 0.847 0.847 0.417
6 Ag 0.163 0.163 0.903
7 Ag 0.482 0.482 0.647
8 Ag 0.518 0.518 0.353
9 Ag 0.837 0.837 0.097

Output
ΔE_f (eV per atom): -0.2379
Space-group type: C2/m (12)
D(E_F) (states/eV/cell): 6.07

***

Here is crystalline GeOsPt3 at its relaxed geometry from Alexandria. Energies are from PBE.

a = 4.594 Å, b = 4.594 Å, c = 4.594 Å
α = 90.00°, β = 90.00°, γ = 90.00°
Element x y z (fractional)
1 Ge 0.000 0.000 0.000
2 Os 0.500 0.500 0.500
3 Pt 0.000 0.000 0.500
4 Pt 0.000 0.500 0.000
5 Pt 0.500 0.000 0.000

Output
ΔE_f (eV per atom): 1.2453
Space-group type: Pm-3m (221)
D(E_F) (states/eV/cell): 5.14

***

Here is crystalline PmEuTmLu at its relaxed geometry from Alexandria. Energies are from PBE.

a = 8.083 Å, b = 8.083 Å, c = 8.083 Å
α = 90.00°, β = 90.00°, γ = 90.00°
Element x y z (fractional)
1 Pm 0.000 0.000 0.000
2 Pm 0.000 0.500 0.500
3 Pm 0.500 0.000 0.500
4 Pm 0.500 0.500 0.000
5 Eu 0.000 0.000 0.500
6 Eu 0.000 0.500 0.000
7 Eu 0.500 0.000 0.000
8 Eu 0.500 0.500 0.500
9 Tm 0.250 0.250 0.750
10 Tm 0.250 0.750 0.250
11 Tm 0.750 0.250 0.250
12 Tm 0.750 0.750 0.750
13 Lu 0.250 0.250 0.250
14 Lu 0.250 0.750 0.750
15 Lu 0.750 0.250 0.750
16 Lu 0.750 0.750 0.250

Output
ΔE_f (eV per atom): 0.1409
Space-group type: F-43m (216)
D(E_F) (states/eV/cell): 24.48

***

Here is crystalline Si4TcPb at its relaxed geometry from Alexandria. Energies are from PBE.

a = 5.219 Å, b = 5.219 Å, c = 5.219 Å
α = 60.00°, β = 60.00°, γ = 60.00°
Element x y z (fractional)
1 Si 0.123 0.123 0.123
2 Si 0.123 0.123 0.630
3 Si 0.123 0.630 0.123
4 Si 0.630 0.123 0.123
5 Tc 0.750 0.750 0.750
6 Pb 0.500 0.500 0.500

Output
Formation energy (no corrections) (eV per atom): 0.676
Space-group type: F-43m (216)
D(E_F) (states/eV/cell): 3.04

***

Here is crystalline Sr2PrCd at its relaxed geometry from Alexandria. Energies are from PBE.

a = 5.200 Å, b = 5.200 Å, c = 5.568 Å
α = 90.00°, β = 90.00°, γ = 90.00°
Element x y z (fractional)
1 Sr 0.000 0.500 0.000
2 Sr 0.500 0.000 0.000
3 Pr 0.000 0.000 0.500
4 Cd 0.500 0.500 0.500

Output
ΔE_f (eV per atom): 0.0286
Space-group type: P4/mmm (123)
D(E_F) (states/eV/cell): 6.30

***

Here is crystalline K2TaNi at its relaxed geometry from Alexandria. Energies are from PBE.

a = 7.258 Å, b = 7.258 Å, c = 7.258 Å
α = 90.00°, β = 90.00°, γ = 90.00°
Element x y z (fractional)
1 K 0.000 0.000 0.000
2 K 0.000 0.500 0.500
3 K 0.250 0.250 0.250
4 K 0.250 0.750 0.750
5 K 0.500 0.000 0.500
6 K 0.500 0.500 0.000
7 K 0.750 0.250 0.750
8 K 0.750 0.750 0.250
9 Ta 0.000 0.000 0.500
10 Ta 0.000 0.500 0.000
11 Ta 0.500 0.000 0.000
12 Ta 0.500 0.500 0.500
13 Ni 0.250 0.250 0.750
14 Ni 0.250 0.750 0.250
15 Ni 0.750 0.250 0.250
16 Ni 0.750 0.750 0.750

Output
ΔE_f (eV per atom): 1.5952
Space-group type: F-43m (216)
D(E_F) (states/eV/cell): 17.37

***

Here is crystalline ZnTc3N at its relaxed geometry from Alexandria. Energies are from PBE.

a = 7.152 Å, b = 7.152 Å, c = 7.152 Å
α = 139.30°, β = 139.30°, γ = 58.92°
Element x y z (fractional)
1 Zn 0.120 0.120 0.000
2 Zn 0.880 0.880 0.000
3 Tc 0.055 0.555 0.500
4 Tc 0.126 0.368 0.757
5 Tc 0.445 0.945 0.500
6 Tc 0.611 0.368 0.243
7 Tc 0.632 0.389 0.757
8 Tc 0.632 0.874 0.243
9 N 0.500 0.500 0.000
10 N 0.750 0.250 0.500

Output
Formation energy (no corrections) (eV per atom): 0.601
Space-group type: I-4m2 (119)
D(E_F) (states/eV/cell): 7.66

***

Here is crystalline Li3PaPd3 at its relaxed geometry from Alexandria. Energies are from PBE.

a = 6.346 Å, b = 6.346 Å, c = 6.346 Å
α = 90.00°, β = 90.00°, γ = 90.00°
Element x y z (fractional)
1 Li 0.000 0.250 0.500
2 Li 0.000 0.750 0.500
3 Li 0.250 0.500 0.000
4 Li 0.500 0.000 0.250
5 Li 0.500 0.000 0.750
6 Li 0.750 0.500 0.000
7 Pa 0.000 0.000 0.000
8 Pa 0.500 0.500 0.500
9 Pd 0.000 0.500 0.250
10 Pd 0.000 0.500 0.750
11 Pd 0.250 0.000 0.500
12 Pd 0.500 0.250 0.000
13 Pd 0.500 0.750 0.000
14 Pd 0.750 0.000 0.500

Output
ΔE_f (eV per atom): 0.2439
Space-group type: Pm-3n (223)
D(E_F) (states/eV/cell): 17.47

***

Here is crystalline CsPtI2 at its relaxed geometry from Alexandria. Energies are from PBE.

a = 7.212 Å, b = 7.212 Å, c = 14.954 Å
α = 90.00°, β = 90.00°, γ = 90.00°
Element x y z (fractional)
1 Cs 0.000 0.000 0.000
2 Cs 0.000 0.500 0.250
3 Cs 0.500 0.000 0.750
4 Cs 0.500 0.500 0.500
5 Pt 0.000 0.000 0.500
6 Pt 0.000 0.500 0.750
7 Pt 0.500 0.000 0.250
8 Pt 0.500 0.500 0.000
9 I 0.107 0.250 0.625
10 I 0.250 0.607 0.875
11 I 0.250 0.893 0.375
12 I 0.393 0.250 0.125
13 I 0.607 0.750 0.125
14 I 0.750 0.107 0.375
15 I 0.750 0.393 0.875
16 I 0.893 0.750 0.625

Output
Formation energy (no corrections) (eV per atom): -0.450
Space-group type: I-42d (122)
D(E_F) (states/eV/cell): 14.44

***

Here is crystalline B2C3 at its relaxed geometry from Alexandria. Energies are from PBE.

a = 4.402 Å, b = 4.402 Å, c = 6.187 Å
α = 107.51°, β = 107.51°, γ = 33.77°
Element x y z (fractional)
1 B 0.000 0.000 0.000
2 B 0.241 0.241 0.081
3 B 0.350 0.350 0.847
4 B 0.558 0.558 0.662
5 C 0.012 0.012 0.278
6 C 0.137 0.137 0.821
7 C 0.354 0.354 0.592
8 C 0.589 0.589 0.407
9 C 0.781 0.781 0.461
10 C 0.819 0.819 0.229

Output
ΔE_f (eV per atom): 0.3245
Space-group type: Cm (8)
D(E_F) (states/eV/cell): 2.22

***

Here is crystalline KTa2Cu at its relaxed geometry from Alexandria. Energies are from PBE.

a = 3.356 Å, b = 3.356 Å, c = 8.530 Å
α = 90.00°, β = 90.00°, γ = 90.00°
Element x y z (fractional)
1 K 0.000 0.000 0.000
2 Ta 0.000 0.000 0.543
3 Ta 0.500 0.500 0.379
4 Cu 0.500 0.500 0.698

Output
ΔE_f (eV per atom): 0.6376
Space-group type: P4mm (99)
D(E_F) (states/eV/cell): 3.35

***

Here is crystalline BaMnH2 at its relaxed geometry from Alexandria. Energies are from PBE.

a = 6.559 Å, b = 6.559 Å, c = 6.559 Å
α = 90.00°, β = 90.00°, γ = 90.00°
Element x y z (fractional)
1 Ba 0.000 0.000 0.000
2 Ba 0.000 0.500 0.500
3 Ba 0.500 0.000 0.500
4 Ba 0.500 0.500 0.000
5 Mn 0.000 0.000 0.500
6 Mn 0.000 0.500 0.000
7 Mn 0.500 0.000 0.000
8 Mn 0.500 0.500 0.500
9 H 0.250 0.250 0.250
10 H 0.250 0.250 0.750
11 H 0.250 0.750 0.250
12 H 0.250 0.750 0.750
13 H 0.750 0.250 0.250
14 H 0.750 0.250 0.750
15 H 0.750 0.750 0.250
16 H 0.750 0.750 0.750

Output
Final energy (eV per cell): -65.02
Space-group type: Fm-3m (225)
D(E_F) (states/eV/cell): 9.33

***

Here is crystalline RbScC at its relaxed geometry from Alexandria. Energies are from PBE.

a = 4.047 Å, b = 5.091 Å, c = 11.096 Å
α = 90.00°, β = 90.37°, γ = 90.00°
Element x y z (fractional)
1 Rb 0.000 0.000 0.000
2 Rb 0.478 0.500 0.392
3 Sc 0.495 0.000 0.709
4 Sc 0.995 0.500 0.735
5 C 0.496 0.365 0.806
6 C 0.496 0.635 0.806

Output
ΔE_f (eV per atom): 0.1714
Space-group type: Pm (6)
D(E_F) (states/eV/cell): 5.04

***

Here is crystalline HgSb3C at its relaxed geometry from Alexandria. Energies are from PBE.

a = 5.581 Å, b = 5.581 Å, c = 5.581 Å
α = 90.00°, β = 90.00°, γ = 90.00°
Element x y z (fractional)
1 Hg 0.000 0.000 0.000
2 Sb 0.000 0.000 0.500
3 Sb 0.000 0.500 0.000
4 Sb 0.500 0.000 0.000
5 C 0.500 0.500 0.500

Output
Formation energy (no corrections) (eV per atom): 2.155
Space-group type: Pm-3m (221)
D(E_F) (states/eV/cell): 7.51

***

Here is crystalline LaRePb2 at its relaxed geometry from Alexandria. Energies are from PBE.

a = 3.518 Å, b = 3.518 Å, c = 7.876 Å
α = 90.00°, β = 90.00°, γ = 90.00°
Element x y z (fractional)
1 La 0.000 0.000 0.000
2 Re 0.000 0.000 0.500
3 Pb 0.500 0.500 0.296
4 Pb 0.500 0.500 0.704

Output
ΔE_f (eV per atom): 0.3570
Space-group type: P4/mmm (123)
D(E_F) (states/eV/cell): 4.33

***

Here is crystalline FeNi at its relaxed geometry from Alexandria. Energies are from PBE.

a = 2.487 Å, b = 2.487 Å, c = 7.298 Å
α = 90.00°, β = 90.00°, γ = 90.00°
Element x y z (fractional)
1 Fe 0.250 0.250 0.131
2 Fe 0.750 0.750 0.869
3 Ni 0.250 0.250 0.623
4 Ni 0.750 0.750 0.377

Output
ΔE_f (eV per atom): -0.0199
Space-group type: P4/nmm (129)
D(E_F) (states/eV/cell): 4.43

***

Number 1: V 58.4 Å³ per cell. Number 2: V 164.5 Å³ per cell. Number 3: V 127.9 Å³ per cell. Number 4: V 310.5 Å³ per cell. Number 5: V 200.4 Å³ per cell. Number 6: V 97.0 Å³ per cell. Number 7: V 528.2 Å³ per cell. Number 8: V 100.5 Å³ per cell. Number 9: V 150.6 Å³ per cell. Number 10: V 382.4 Å³ per cell. Number 11: V 154.1 Å³ per cell. Number 12: V 255.6 Å³ per cell. Number 13: V 777.8 Å³ per cell. Number 14: V 63.3 Å³ per cell. Number 15: V 96.0 Å³ per cell. Number 16: V 282.1 Å³ per cell. Number 17: V 228.6 Å³ per cell. Number 18: V 173.8 Å³ per cell. Number 19: V 97.5 Å³ per cell. Number 20: V 45.1 Å³ per cell.